P:
VASP calculation (PBE) on an optimized crystal structure of V5Si3.

Computed properties:
As for the calculated density: 5.30 g cm⁻³. As for the size of the total moment: 0.81 μB/f.u.

Cell lengths 7.1201, 7.1201, 4.8337 Å; angles 90.00, 90.00, 120.00 degrees
Space group P6_3/mcm (No. 193)
Inequivalent atoms, fractional coordinates:
V (0.0000, 0.2441, 0.2500) x6
V (0.3333, 0.6667, 0.0000) x4
Si (0.0000, 0.3956, 0.7500) x6



Q:
VASP calculation (PBE) on an optimized crystal structure of V5Si3.

Computed properties:
As for the calculated density: 5.39 g cm⁻³. As for the size of the total moment: 0.00 μB/f.u.

Cell lengths 9.4036, 9.4036, 4.7271 Å; angles 90.00, 90.00, 90.00 degrees
Space group I4/mcm (No. 140)
Inequivalent atoms, fractional coordinates:
V (0.0000, 0.5000, 0.2500) x4
V (0.0746, 0.2245, 0.0000) x16
Si (0.0000, 0.0000, 0.2500) x4
Si (0.1658, 0.3342, 0.5000) x8



Computed energies relative to the best structure, in eV/atom: P 0.052; Q 0.000



P:
VASP calculation (PBE) on an optimized crystal structure of VSi2W2.

Computed properties:
As for the calculated density: 11.14 g cm⁻³. As for the size of the total moment: 0.01 μB/f.u.

Cell lengths 6.4501, 6.4501, 3.4025 Å; angles 90.00, 90.00, 90.00 degrees
Space group P4/mbm (No. 127)
Inequivalent atoms, fractional coordinates:
V (0.0000, 0.0000, 0.0000) x2
Si (0.1347, 0.3653, 0.0000) x4
W (0.1641, 0.6641, 0.5000) x4



Q:
VASP calculation (PBE) on an optimized crystal structure of VSi2W2.

Computed properties:
As for the calculated density: 9.66 g cm⁻³. As for the size of the total moment: 2.56 μB/f.u.

Cell lengths 3.8510, 3.8510, 11.0051 Å; angles 90.00, 90.00, 90.00 degrees
Space group I4/mmm (No. 139)
Inequivalent atoms, fractional coordinates:
V (0.0000, 0.0000, 0.0000) x2
Si (0.0000, 0.0000, 0.3987) x4
W (0.0000, 0.5000, 0.2500) x4



Computed energies relative to the best structure, in eV/atom: P 0.000; Q 0.444